BiBrCl2O: optimized geometry, PBE.

Structure (extended XYZ):
```
5
Lattice="-1.2196 -4.4653 0.4183 0.4047 -0.5413 -4.5983 4.6068 -1.2069 0.5475" Properties=species:S:1:pos:R:3 pbc="T T T"
O 0.0000 0.0000 0.0000
Bi 1.8959 -3.1068 -1.8162
Br 2.3034 -0.6035 0.2738
Cl 0.2023 -0.2707 -2.2991
Cl -0.6098 -2.2326 0.2092
```

M_tot: 0.00 μB per formula unit
DOS(E_F): 3.01 states/eV per cell
ΔE_f (raw): 0.32 eV per atom
crystal system: tetragonal
space-group type: P4/mmm (123)